## ZrSb3Te (PBE)

Data for a geometry-optimized ZrSb3Te structure.

Properties
raw formation energy = 0.998 eV per atom
VASP energy = -19.067 eV per cell
symmetry = Pm-3m

Lattice parameters (Å, degrees): 5.5628 5.5628 5.5628 90.00 90.00 90.00
With the nearest neighbours (Å) after each atom.
Fractional positions:
1 Sb 0.5000 0.0000 0.0000  2 Te 2.78
2 Sb 0.0000 0.0000 0.5000  2 Te 2.78
3 Sb 0.0000 0.5000 0.0000  2 Te 2.78
4 Te 0.0000 0.0000 0.0000  6 Sb 2.78
5 Zr 0.5000 0.5000 0.5000  12 Sb 3.93

## LaDy4Hg (PBE)

Data for a geometry-optimized LaDy4Hg structure.

Properties
VASP energy = -24.469 eV per cell
symmetry = P4/mmm
ΔE_f = -138.5 meV/atom

Lattice parameters (Å, degrees): 3.6259 3.6259 13.9598 90.00 90.00 90.00
With the nearest neighbours (Å) after each atom.
Fractional positions:
1 La 0.0000 0.0000 0.0000  8 Dy 3.62, 4 La 3.63
2 Dy 0.5000 0.5000 0.8169  8 Dy 3.55-3.63, 4 La 3.62
3 Dy 0.0000 0.0000 0.6408  4 Hg 3.23, 4 Dy 3.55
4 Dy 0.0000 0.0000 0.3592  4 Hg 3.23, 4 Dy 3.55
5 Dy 0.5000 0.5000 0.1831  8 Dy 3.55-3.63, 4 La 3.62
6 Hg 0.5000 0.5000 0.5000  8 Dy 3.23

## Sr2Pt (PBE)

Data for a geometry-optimized Sr2Pt structure.

Properties
VASP energy = -22.636 eV per cell
symmetry = Cmc2_1
ΔE_f = -637.9 meV/atom

Lattice parameters (Å, degrees): 7.2019 7.2019 15.6027 148.03 148.03 33.04
With the nearest neighbours (Å) after each atom.
Fractional positions:
1 Sr 0.2215 0.2215 0.5899  3 Pt 3.06-3.26
2 Sr 0.6130 0.6130 0.2602  4 Pt 3.13-3.23
3 Sr 0.1296 0.1296 0.7602  4 Pt 3.13-3.23
4 Sr 0.1802 0.1802 0.0896  3 Pt 3.06-3.26
5 Pt 0.4605 0.4605 0.4835  7 Sr 3.06-3.26
6 Pt 0.7286 0.7286 0.9834  7 Sr 3.06-3.26

## Er2Se2Br (PBE)

Data for a geometry-optimized Er2Se2Br structure.

Properties
raw formation energy = -1.792 eV per atom
VASP energy = -26.730 eV per cell
symmetry = I4/mmm

Lattice parameters (Å, degrees): 4.0229 4.0229 8.9026 103.06 103.06 90.00
With the nearest neighbours (Å) after each atom.
Fractional positions:
1 Er 0.8356 0.8356 0.6713  1 Br 2.77, 5 Se 2.84-2.89
2 Er 0.1644 0.1644 0.3287  1 Br 2.77, 5 Se 2.84-2.89
3 Se 0.3356 0.3356 0.6712  5 Er 2.84-2.89
4 Se 0.6644 0.6644 0.3288  5 Er 2.84-2.89
5 Br 0.0000 0.0000 0.0000  2 Er 2.77

## NpZn12Pd6 (PBE)

Data for a geometry-optimized NpZn12Pd6 structure.

Properties
VASP energy = -63.584 eV per cell
symmetry = R-3m
ΔE_f = -221.0 meV/atom

Lattice parameters (Å, degrees): 7.1554 7.1554 7.1554 104.80 104.80 104.80
With the nearest neighbours (Å) after each atom.
Fractional positions:
1 Pd 0.7041 0.2816 0.2816  8 Zn 2.54-2.80
2 Pd 0.7184 0.7184 0.2959  8 Zn 2.54-2.80
3 Pd 0.2816 0.2816 0.7041  8 Zn 2.54-2.80
4 Pd 0.7184 0.2959 0.7184  8 Zn 2.54-2.80
5 Pd 0.2959 0.7184 0.7184  8 Zn 2.54-2.80
6 Pd 0.2816 0.7041 0.2816  8 Zn 2.54-2.80
7 Zn 0.3879 0.3879 0.1319  4 Pd 2.62-2.80, 4 Zn 2.71-2.90
8 Zn 0.1108 0.5000 0.8892  3 Zn 2.51-2.71, 4 Pd 2.54-2.60
9 Zn 0.6121 0.8681 0.6121  4 Pd 2.62-2.80, 4 Zn 2.71-2.90
10 Zn 0.8892 0.1108 0.5000  3 Zn 2.51-2.71, 4 Pd 2.54-2.60
11 Zn 0.5000 0.8892 0.1108  3 Zn 2.51-2.71, 4 Pd 2.54-2.60
12 Zn 0.5000 0.1108 0.8892  3 Zn 2.51-2.71, 4 Pd 2.54-2.60
13 Zn 0.8892 0.5000 0.1108  3 Zn 2.51-2.71, 4 Pd 2.54-2.60
14 Zn 0.8681 0.6121 0.6121  4 Pd 2.62-2.80, 4 Zn 2.71-2.90
15 Zn 0.1319 0.3879 0.3879  4 Pd 2.62-2.80, 4 Zn 2.71-2.90
16 Zn 0.3879 0.1319 0.3879  4 Pd 2.62-2.80, 4 Zn 2.71-2.90
17 Zn 0.1108 0.8892 0.5000  3 Zn 2.51-2.71, 4 Pd 2.54-2.60
18 Zn 0.6121 0.6121 0.8681  4 Pd 2.62-2.80, 4 Zn 2.71-2.90
19 Np 0.0000 0.0000 0.0000  6 Zn 3.11

## TlSb2Pd7 (PBE)

Data for a geometry-optimized TlSb2Pd7 structure.

Properties
raw formation energy = -0.065 eV per atom
VASP energy = -47.615 eV per cell
symmetry = Cmmm

Lattice parameters (Å, degrees): 4.4826 7.5294 7.5294 120.70 90.00 90.00
With the nearest neighbours (Å) after each atom.
Fractional positions:
1 Sb 0.5000 0.6972 0.3028  7 Pd 2.56-2.87
2 Sb 0.5000 0.3028 0.6972  7 Pd 2.56-2.87
3 Pd 0.5000 0.2925 0.0728  2 Sb 2.63-2.87, 5 Pd 2.72-2.92
4 Pd 0.5000 0.5000 0.5000  2 Sb 2.58, 4 Pd 2.77
5 Pd 0.0000 0.2075 0.7925  2 Sb 2.56, 1 Tl 2.72
6 Pd 0.0000 0.7925 0.2075  2 Sb 2.56, 1 Tl 2.72
7 Pd 0.5000 0.0728 0.2925  2 Sb 2.63-2.87, 5 Pd 2.72-2.92
8 Pd 0.5000 0.7075 0.9272  2 Sb 2.63-2.87, 5 Pd 2.72-2.92
9 Pd 0.5000 0.9272 0.7075  2 Sb 2.63-2.87, 5 Pd 2.72-2.92
10 Tl 0.0000 0.0000 0.0000  10 Pd 2.72-2.99

## ScSNF2 (PBE)

Data for a geometry-optimized ScSNF2 structure.

Properties
raw formation energy = -0.488 eV per atom
VASP energy = -24.969 eV per cell
symmetry = P4/mmm

Lattice parameters (Å, degrees): 4.6378 4.6378 3.3071 90.00 90.00 90.00
With the nearest neighbours (Å) after each atom.
Fractional positions:
1 N 0.0000 0.0000 0.5000  2 S 1.65
2 F 0.0000 0.5000 0.0000  2 S 2.32
3 F 0.5000 0.0000 0.0000  2 S 2.32
4 S 0.0000 0.0000 0.0000  2 N 1.65
5 Sc 0.5000 0.5000 0.5000  8 F 2.85

## Y3Be (PBE)

Data for a geometry-optimized Y3Be structure.

Properties
VASP energy = -45.010 eV per cell
symmetry = Cmcm
ΔE_f = 153.4 meV/atom

Lattice parameters (Å, degrees): 6.9715 6.9715 4.4584 90.00 90.00 102.96
With the nearest neighbours (Å) after each atom.
Fractional positions:
1 Y 0.4258 0.1894 0.7500  2 Be 2.90
2 Y 0.8776 0.1224 0.7500  2 Be 3.00, 2 Y 3.29
3 Y 0.8106 0.5742 0.7500  2 Be 2.90
4 Y 0.1224 0.8776 0.2500  2 Be 3.00, 2 Y 3.29
5 Y 0.1894 0.4258 0.2500  2 Be 2.90
6 Y 0.5742 0.8106 0.2500  2 Be 2.90
7 Be 0.3064 0.6936 0.7500  6 Y 2.90-3.00
8 Be 0.6936 0.3064 0.2500  6 Y 2.90-3.00

Number 8 is which compound?
Y3Be